Compound: Ba2SbPdAu6
Source: Alexandria
Functional: PBE
Structure: relaxed

Structure (POSCAR):
```
Ba2SbPdAu6
1.0
-5.250 0.954 -1.902
-2.434 -8.942 2.237
-5.214 -2.599 4.655
Sb Au Ba Pd
1 6 2 1
direct
0.500 0.500 0.000
0.748 0.242 0.009
0.756 0.908 0.488
0.252 0.758 0.991
0.757 0.758 0.991
0.244 0.092 0.512
0.243 0.242 0.009
0.737 0.275 0.525
0.263 0.725 0.475
0.000 0.000 0.000
```

Calculated values
total moment	0.00	μB per formula unit
volume	26.44	A^3/atom
DOS(E_F)	0.34	states/eV/atom
ΔE_f (raw)	-476	meV per atom
VASP energy	-37.582	eV/cell

Compound: Ba2Sb3Pd4Au
Source: Alexandria
Functional: PBE
Structure: relaxed

Structure (POSCAR):
```
Ba2Sb3Pd4Au
1.0
4.771 0.000 0.000
0.000 4.771 0.000
0.000 0.000 10.756
Pd Au Ba Sb
4 1 2 3
direct
0.000 0.500 0.372
0.000 0.000 0.000
0.500 0.000 0.628
0.500 0.500 0.000
0.500 0.500 0.500
0.000 0.500 0.746
0.500 0.000 0.254
0.000 0.500 0.123
0.500 0.000 0.877
0.000 0.000 0.500
```

Calculated values
total moment	0.00	μB per formula unit
volume	24.49	A^3/atom
DOS(E_F)	0.50	states/eV/atom
ΔE_f (raw)	-736	meV per atom
VASP energy	-47.621	eV/cell

Compound: Ba2SiPd6Au
Source: Alexandria
Functional: PBE
Structure: relaxed

Structure (POSCAR):
```
Ba2SiPd6Au
1.0
7.164 0.217 1.174
0.238 6.551 0.775
4.565 3.920 5.981
Pd Au Ba Si
6 1 2 1
direct
0.273 0.237 0.523
0.246 0.754 0.861
0.763 0.727 0.033
0.727 0.763 0.477
0.754 0.246 0.139
0.237 0.273 0.967
0.500 0.500 0.000
0.229 0.771 0.456
0.771 0.229 0.544
0.000 0.000 0.000
```

Calculated values
total moment	0.00	μB per formula unit
volume	22.54	A^3/atom
DOS(E_F)	0.37	states/eV/atom
ΔE_f (raw)	-567	meV per atom
VASP energy	-49.375	eV/cell